(1)
Entry from Alexandria: an optimized crystal structure of BaCa2InPt (PBE).

Properties
Excess energy over the best structure of this formula in the dataset: 0.033 eV per atom
Formation enthalpy at 0 K: -0.46 eV/atom
DFT total energy: -3.3968 eV per atom

a b c (Å): 5.595 5.595 6.064
angles (deg): 90.00 90.00 90.00
Space group P4/mmm (No. 123)
Inequivalent atoms, fractional coordinates:
Ba 0.000 0.000 0.000 x1
Ca 0.000 0.500 0.500 x2
In 0.500 0.500 0.000 x1
Pt 0.000 0.000 0.500 x1

=====

(2)
Entry from Alexandria: an optimized crystal structure of RbBa2Pb6 (PBE).

Properties
Formation enthalpy at 0 K: -0.26 eV/atom
DFT total energy: -3.2646 eV per atom

a b c (Å): 9.2476 9.2476 5.0264
angles (deg): 90.00 90.00 120.00
Space group P6/mmm (No. 191)
Inequivalent atoms, fractional coordinates:
Rb 0.0000 0.0000 0.0000 x1
Ba 0.3333 0.6667 0.0000 x2
Pb 0.0000 0.3362 0.5000 x6

=====

(3)
Entry from Alexandria: an optimized crystal structure of La2GaPd (PBE).

Properties
Formation enthalpy at 0 K: -0.12 eV/atom
DFT total energy: -4.6391 eV per atom

a b c (Å): 4.1267 4.1267 29.2135
angles (deg): 90.00 90.00 120.00
Space group R-3m (No. 166, hexagonal axes)
Inequivalent atoms, fractional coordinates:
La 0.0000 0.0000 0.1086 x6
Ga 0.0000 0.0000 0.0000 x3
Pd 0.0000 0.0000 0.5000 x3

=====

(4)
Entry from Alexandria: an optimized crystal structure of K2SnGeSe5 (PBE).

Properties
ΔE_f (raw): -0.6450 eV/atom
DFT total energy: -3.7825 eV per atom

a b c (Å): 3.917 21.061 13.598
angles (deg): 90.00 90.00 90.00
Space group Cmc2_1 (No. 36)
Inequivalent atoms, fractional coordinates:
K 0.000 0.112 0.000 x4
K 0.000 0.119 0.370 x4
Sn 0.000 0.229 0.730 x4
Ge 0.000 0.436 0.135 x4
Se 0.000 0.042 0.742 x4
Se 0.000 0.285 0.364 x4
Se 0.000 0.321 0.099 x4
Se 0.000 0.343 0.682 x4
Se 0.000 0.485 0.984 x4

=====

(5)
Entry from Alexandria: an optimized crystal structure of NdTmPa (PBE).

Properties
Excess energy over the best structure of this formula in the dataset: 0.000 eV per atom
Formation enthalpy at 0 K: 0.15 eV/atom
DFT total energy: -6.0990 eV per atom

a b c (Å): 3.4365 3.4365 8.6319
angles (deg): 90.00 90.00 120.00
Space group P3m1 (No. 156)
Inequivalent atoms, fractional coordinates:
Nd 0.0000 0.0000 0.0000 x1
Tm 0.3333 0.6667 0.6382 x1
Pa 0.6667 0.3333 0.3256 x1

=====

(6)
Entry from Alexandria: an optimized crystal structure of FeReIr3 (PBE).

Properties
Excess energy over the best structure of this formula in the dataset: 0.000 eV per atom
Formation enthalpy at 0 K: -0.06 eV/atom
DFT total energy: -9.5603 eV per atom

a b c (Å): 4.713 5.407 6.048
angles (deg): 102.99 97.14 106.73
Space group P-1 (No. 2)
Inequivalent atoms, fractional coordinates:
Fe 0.097 0.451 0.204 x2
Re 0.096 0.948 0.196 x2
Ir 0.292 0.349 0.601 x2
Ir 0.299 0.848 0.601 x2
Ir 0.499 0.251 0.997 x2